No. 1
Compound: SrTiPO2
Source: the Alexandria database
Functional: PBE
Structure: relaxed

* crystal system: tetragonal
* ρ: 4.1 g/cm3
* M_tot: 0.00 μB per formula unit
* VASP energy: -34.170 eV per cell
* raw formation energy: -1.853 eV/atom
* offset from the most stable computed form: 0.0 meV/atom

a = 4.0347 Å, b = 4.0347 Å, c = 4.9043 Å
α = 90.00°, β = 90.00°, γ = 90.00°
Last column: nearest neighbours and their distance in Å.
Element x y z (fractional)
1 Sr 0.5000 0.5000 0.5000  4 P 2.85, 8 O 3.18
2 O 0.0000 0.5000 0.0000  2 Ti 2.02
3 O 0.5000 0.0000 0.0000  2 Ti 2.02
4 P 0.0000 0.0000 0.5000  2 Ti 2.45
5 Ti 0.0000 0.0000 0.0000  4 O 2.02



No. 2
Compound: SrTl3P2O8
Source: the Alexandria database
Functional: PBE
Structure: relaxed

* crystal system: trigonal
* ρ: 6.2 g/cm3
* M_tot: 0.00 μB per formula unit
* VASP energy: -85.845 eV per cell
* raw formation energy: -1.899 eV/atom

a = 5.9141 Å, b = 5.9141 Å, c = 7.8706 Å
α = 90.00°, β = 90.00°, γ = 120.00°
Last column: nearest neighbours and their distance in Å.
Element x y z (fractional)
1 Sr 0.0000 0.0000 0.5000  6 O 2.50
2 Tl 0.3333 0.6667 0.7275  1 O 2.44
3 Tl 0.6667 0.3333 0.2725  1 O 2.44
4 Tl 0.0000 0.0000 0.0000  12 O 3.07-3.43
5 P 0.3333 0.6667 0.2322  4 O 1.53-1.57
6 P 0.6667 0.3333 0.7678  4 O 1.53-1.57
7 O 0.3333 0.6667 0.0372  1 P 1.53
8 O 0.6667 0.3333 0.9628  1 P 1.53
9 O 0.1901 0.8099 0.3018  1 P 1.57
10 O 0.8099 0.1901 0.6982  1 P 1.57
11 O 0.1901 0.3802 0.3018  1 P 1.57
12 O 0.8099 0.6198 0.6982  1 P 1.57
13 O 0.6198 0.8099 0.3018  1 P 1.57
14 O 0.3802 0.1901 0.6982  1 P 1.57